Entry from Alexandria via LeMat-Bulk: a relaxed structure of MnBrF (PBE+U).

Results
As for the energy: -5.488 eV/atom. For the offset from the most stable computed form, the calculation gives 0 meV per atom. Its total magnetization is 5.00 μB per formula unit. As for the density of states at the Fermi level: 0.00 states/eV per cell.

a = 6.145 Å, b = 3.675 Å, c = 6.848 Å
α = 90.00°, β = 112.27°, γ = 90.00°
Atoms (fractional coordinates):
Mn 0.233 0.250 0.497
Mn 0.767 0.750 0.503
Br 0.316 0.750 0.237
Br 0.684 0.250 0.763
F 0.146 0.750 0.626
F 0.854 0.250 0.374